Record 1
Material: LiTmNO
Method: DFT, PBE
State: relaxed

* total energy: -6.52 eV/atom
* offset from the most stable computed form: 42 meV/atom
* calculated density: 6.4 g cm⁻³
* total magnetization: 0.25 μB/atom

Geometry as POSCAR:
```
LiTmNO
1.0
-0.763 3.893 0.136
-4.271 -0.854 0.474
0.691 -0.078 6.092
O Tm Li N
2 2 2 2
Direct
0.500 0.439 0.154
0.500 0.939 0.846
0.500 0.439 0.795
0.500 0.939 0.205
0.000 0.438 0.315
0.000 0.938 0.685
0.000 0.438 0.640
0.000 0.938 0.360
```

=====

Record 2
Material: LiZrNO
Method: DFT, PBE
State: relaxed

* total energy: -7.78 eV/atom
* offset from the most stable computed form: 173 meV/atom
* calculated density: 4.0 g cm⁻³
* total magnetization: 0.00 μB/atom

Geometry as POSCAR:
```
LiZrNO
1.0
-0.197 0.017 3.394
2.448 -5.265 0.169
4.904 2.289 0.274
Li Zr N O
2 2 2 2
Direct
0.000 0.666 0.497
0.000 0.334 0.997
0.500 0.815 0.000
0.500 0.185 0.500
0.000 0.334 0.376
0.000 0.666 0.876
0.500 0.848 0.380
0.500 0.152 0.880
```

=====

Record 3
Material: LiZrNO
Method: DFT, PBE
State: relaxed

* total energy: -7.50 eV/atom
* offset from the most stable computed form: 452 meV/atom
* calculated density: 5.3 g cm⁻³
* total magnetization: 0.00 μB/atom

Geometry as POSCAR:
```
LiZrNO
1.0
-2.777 -1.759 -0.148
1.559 -2.574 1.332
-1.877 2.391 6.819
N Zr O Li
2 2 2 2
Direct
0.250 0.250 0.677
0.750 0.750 0.323
0.250 0.250 0.180
0.750 0.750 0.820
0.750 0.250 0.000
0.250 0.750 0.000
0.750 0.250 0.500
0.250 0.750 0.500
```

=====

Record 4
Material: LiZrNO
Method: DFT, PBE
State: relaxed

* total energy: -7.95 eV/atom
* offset from the most stable computed form: 0 meV/atom
* calculated density: 5.0 g cm⁻³
* total magnetization: 0.00 μB/atom

Geometry as POSCAR:
```
LiZrNO
1.0
4.464 0.000 0.000
0.000 4.464 0.000
0.000 0.000 4.246
O Zr Li N
2 2 2 2
Direct
0.500 0.500 0.000
0.000 0.000 0.000
0.000 0.000 0.500
0.500 0.500 0.500
0.000 0.500 0.002
0.500 0.000 0.998
0.000 0.500 0.501
0.500 0.000 0.499
```

=====

Question: Look up the total magnetization of the third one.
Answer: 0.00 μB/atom

=====

Please write out number 3 again, unchanged.
Material: LiZrNO
Method: DFT, PBE
State: relaxed

* total energy: -7.50 eV/atom
* offset from the most stable computed form: 452 meV/atom
* calculated density: 5.3 g cm⁻³
* total magnetization: 0.00 μB/atom

Geometry as POSCAR:
```
LiZrNO
1.0
-2.777 -1.759 -0.148
1.559 -2.574 1.332
-1.877 2.391 6.819
N Zr O Li
2 2 2 2
Direct
0.250 0.250 0.677
0.750 0.750 0.323
0.250 0.250 0.180
0.750 0.750 0.820
0.750 0.250 0.000
0.250 0.750 0.000
0.750 0.250 0.500
0.250 0.750 0.500
```